## BaTlBi2Rh (GGA-PBE)

Data for a relaxed structure of BaTlBi2Rh.

Results
* DFT formation energy: -0.23 eV/atom
* space group: P4/mmm
* E: -4.108 eV per atom
* polymorph energy (0 for the lowest one): 10 meV/atom

a = 5.5361 Å, b = 5.5361 Å, c = 5.3164 Å
α = 90.00°, β = 90.00°, γ = 90.00°
Atoms (fractional coordinates):
Bi 0.0000 0.5000 0.0000
Bi 0.5000 0.0000 0.0000
Rh 0.0000 0.0000 0.0000
Tl 0.0000 0.0000 0.5000
Ba 0.5000 0.5000 0.5000